Record 1
11
Lattice="-2.548 -3.233 0.269 1.928 -4.858 -8.505 6.396 -7.664 0.103" Properties=species:S:1:pos:R:3 comment="La7Hg2Pt2 PBE optimized geometry" polymorph_energy_mev_per_atom=0.0 sg="Imm2, No. 44" delta_e_f_ev_per_atom=-0.600 pbc="T T T"
La -0.103 -5.212 -0.350
La 3.902 -11.217 -2.967
La 0.698 -6.503 -8.285
La 1.288 -6.622 -4.132
La 3.503 -8.515 -5.899
La 6.856 -11.157 -5.900
La 3.922 -5.824 -1.220
Hg 3.984 -11.623 -7.079
Hg 0.870 -3.553 -2.832
Pt 2.952 -5.502 -6.531
Pt 3.589 -8.318 -2.717

Record 2
3
Lattice="-0.941 4.901 0.441 -2.228 1.761 4.127 2.604 2.766 3.266" Properties=species:S:1:pos:R:3 comment="LaHgPt PBE optimized geometry" sg="F-43m, No. 216" delta_e_f_ev_per_atom=-0.391 pbc="T T T"
Hg -0.283 4.714 3.917
La -0.424 7.071 5.876
Pt 0.000 0.000 0.000

Record 3
12
Lattice="-3.636 -0.861 -4.062 1.250 -3.427 -4.142 -4.344 -8.329 1.904" Properties=species:S:1:pos:R:3 comment="La3HgPt8 PBE optimized geometry" sg="R3m, No. 160" delta_e_f_ev_per_atom=-0.973 pbc="T T T"
La -4.667 -8.841 -1.447
La -2.471 -4.453 -8.092
La -3.292 -6.168 -3.244
Hg -3.766 -6.972 -6.399
Pt -3.677 -3.836 -5.290
Pt -3.407 -9.330 -4.339
Pt -1.839 -3.401 -3.236
Pt -5.231 -9.762 -6.378
Pt -2.341 -4.435 -0.714
Pt -5.708 -10.748 -3.861
Pt -1.207 -5.133 -5.330
Pt -5.858 -8.043 -4.300

Record 4
4
Lattice="5.113 0.000 0.000 2.556 4.428 0.000 2.556 1.476 4.174" Properties=species:S:1:pos:R:3 comment="La2HgPt PBE optimized geometry" sg="F-43m, No. 216" delta_e_f_ev_per_atom=-0.618 pbc="T T T"
Hg 5.113 2.952 2.087
La 0.000 0.000 0.000
La 2.556 1.476 1.044
Pt 7.669 4.428 3.131

Record 5
3
Lattice="-4.093 -2.292 0.966 1.513 0.395 -4.527 1.885 -3.219 0.349" Properties=species:S:1:pos:R:3 comment="LaHgPt PBE optimized geometry" sg="P-6m2, No. 187" delta_e_f_ev_per_atom=-0.735 pbc="T T T"
Hg 1.570 -2.681 0.291
La -1.596 -2.469 -0.749
Pt 1.216 -3.184 -2.405

Record 6
4
Lattice="-6.431 4.606 -2.933 2.397 -4.219 -2.201 -3.356 -1.754 -0.302" Properties=species:S:1:pos:R:3 comment="La2HgPt PBE optimized geometry" sg="P4/mmm, No. 123" delta_e_f_ev_per_atom=-0.738 pbc="T T T"
Hg -2.017 0.193 -2.567
La 0.000 0.000 0.000
La -4.894 1.426 -1.617
Pt -0.479 -2.987 -1.251

Record 7
11
Lattice="5.345 0.000 0.000 0.000 7.122 -0.042 -2.672 -3.111 9.205" Properties=species:S:1:pos:R:3 comment="La8Hg2Pt PBE optimized geometry" polymorph_energy_mev_per_atom=0.0 sg="C2/m, No. 12" delta_e_f_ev_per_atom=-0.384 pbc="T T T"
La 0.000 1.331 7.574
La 2.672 6.115 2.888
La 2.672 2.992 5.411
La 2.672 -1.499 8.911
La 0.000 1.019 3.752
La 0.000 -2.103 6.275
La 2.672 2.680 1.589
La 0.000 5.511 0.252
Hg 2.672 -0.123 6.018
Hg 0.000 4.134 3.145
Pt 2.672 0.000 0.000

Record 8
4
Lattice="-3.517 2.370 1.948 -2.691 -2.286 -2.077 -1.506 -5.018 3.385" Properties=species:S:1:pos:R:3 comment="La2HgPt PBE optimized geometry" sg="Pm, No. 6" delta_e_f_ev_per_atom=-0.781 pbc="T T T"
Hg -4.408 -4.024 2.527
Pt -2.592 -3.821 -0.032
La -4.014 -6.840 1.074
La -2.995 -1.206 1.649